[1]
Material: TaPSe2
Method: DFT, PBEsol
State: relaxed

Unit cell a=5.041 b=5.041 c=3.185 alpha=90.00 beta=90.00 gamma=119.80
Fractional positions:
1 Ta 0.000 0.000 0.000
2 P 0.500 0.500 0.000
3 Se 0.000 0.500 0.500
4 Se 0.500 0.000 0.500

Results
For the formation energy without anion corrections, the calculation gives 0.349 eV/atom.


[2]
Material: InPW
Method: DFT, PBEsol
State: relaxed

Unit cell a=4.319 b=4.319 c=4.319 alpha=60.00 beta=60.00 gamma=60.00
Fractional positions:
1 In 0.000 0.000 0.000
2 P 0.500 0.500 0.500
3 W 0.250 0.250 0.250

Results
The formation energy from the elements is 0.85 eV per atom.


[3]
Material: Ni2MoPb
Method: DFT, PBEsol
State: relaxed

Unit cell a=2.901 b=2.901 c=7.180 alpha=90.00 beta=90.00 gamma=90.00
Fractional positions:
1 Ni 0.000 0.000 0.220
2 Ni 0.000 0.000 0.780
3 Mo 0.500 0.500 0.000
4 Pb 0.500 0.500 0.500

Results
The formation energy from the elements is 0.33 eV per atom.


[4]
Material: KBiF4
Method: DFT, PBEsol
State: relaxed

Unit cell a=8.238 b=8.238 c=8.238 alpha=60.00 beta=60.00 gamma=60.00
Fractional positions:
1 K 0.000 0.000 0.000
2 K 0.000 0.000 0.500
3 K 0.000 0.500 0.000
4 K 0.500 0.000 0.000
5 Bi 0.000 0.500 0.500
6 Bi 0.500 0.000 0.500
7 Bi 0.500 0.500 0.000
8 Bi 0.500 0.500 0.500
9 F 0.125 0.125 0.125
10 F 0.155 0.155 0.595
11 F 0.155 0.595 0.155
12 F 0.155 0.595 0.595
13 F 0.375 0.375 0.375
14 F 0.405 0.405 0.845
15 F 0.405 0.845 0.405
16 F 0.405 0.845 0.845
17 F 0.595 0.155 0.155
18 F 0.595 0.155 0.595
19 F 0.595 0.595 0.155
20 F 0.625 0.625 0.625
21 F 0.845 0.405 0.405
22 F 0.845 0.405 0.845
23 F 0.845 0.845 0.405
24 F 0.875 0.875 0.875

Results
For the formation energy without anion corrections, the calculation gives -2.581 eV/atom.


[5]
Material: Mo2AsP
Method: DFT, PBEsol
State: relaxed

Unit cell a=3.126 b=3.852 c=4.955 alpha=90.00 beta=90.00 gamma=90.00
Fractional positions:
1 Mo 0.000 0.000 0.000
2 Mo 0.500 0.000 0.500
3 As 0.000 0.500 0.500
4 P 0.500 0.500 0.000

Results
The energy above the most stable polymorph in this dataset is 629 meV/atom. The formation energy from the elements is 0.16 eV per atom.


[6]
Material: TbP2Pd2
Method: DFT, PBEsol
State: relaxed

Unit cell a=5.674 b=5.674 c=5.674 alpha=138.28 beta=138.28 gamma=60.47
Fractional positions:
1 Tb 0.000 0.000 0.000
2 P 0.388 0.388 0.000
3 P 0.612 0.612 0.000
4 Pd 0.250 0.750 0.500
5 Pd 0.750 0.250 0.500

Results
The formation energy from the elements is -1.02 eV per atom.